DFT (GGA-PBE) results for an optimized crystal structure of Cs2Sn2Bi2O.

The space group is C2/m (No. 12) and the conventional cell measures 13.9083, 5.3313 and 9.0803 Å, with angles of 90.00, 129.84 and 90.00 degrees. Symmetry generates all atoms from Cs at (0.0621, 0.0000, 0.2848), Sn at (0.1825, 0.5000, 0.0809), Bi at (0.1523, 0.5000, 0.7017) and O at (0.0000, 0.5000, 0.0000).

Its crystal system is monoclinic. For the uncorrected energy, the calculation gives -3.7749 eV/atom.

---

DFT (GGA-PBE) results for an optimized crystal structure of CsSnBiO4.

The space group is P2_1/m (No. 11) and the conventional cell measures 6.7232, 6.3780 and 8.1807 Å, with angles of 90.00, 111.83 and 90.00 degrees. Symmetry generates all atoms from Cs at (0.1971, 0.2500, 0.4627), Sn at (0.2204, 0.7500, 0.1587), Bi at (0.2953, 0.2500, 0.9926), O at (0.0221, 0.2500, 0.0758), O at (0.0300, 0.7500, 0.2919) and O at (0.4224, 0.5125, 0.1811).

Its crystal system is monoclinic. For the uncorrected energy, the calculation gives -5.4614 eV/atom.

---

DFT (GGA-PBE) results for an optimized crystal structure of CsSrBiO3.

The space group is C2/m (No. 12) and the conventional cell measures 13.4750, 4.3879 and 9.9711 Å, with angles of 90.00, 109.96 and 90.00 degrees. Symmetry generates all atoms from Cs at (0.1628, 0.0000, 0.1439), Sr at (0.1450, 0.0000, 0.5395), Bi at (0.0178, 0.5000, 0.7548), O at (0.0074, 0.0000, 0.6931), O at (0.1334, 0.5000, 0.6571) and O at (0.1523, 0.5000, 0.3570).

Its crystal system is monoclinic. For the uncorrected energy, the calculation gives -5.2800 eV/atom.

---

DFT (GGA-PBE) results for an optimized crystal structure of Cs2Sr5Bi3O2.

The space group is I4/mmm (No. 139) and the conventional cell measures 5.1460, 5.1460 and 32.1558 Å, with angles of 90.00, 90.00 and 90.00 degrees. Symmetry generates all atoms from Cs at (0.0000, 0.0000, 0.2074), Sr at (0.0000, 0.0000, 0.0000), Sr at (0.0000, 0.5000, 0.0883), Bi at (0.0000, 0.0000, 0.3398), Bi at (0.0000, 0.0000, 0.5000) and O at (0.0000, 0.0000, 0.0762).

Its crystal system is tetragonal. For the uncorrected energy, the calculation gives -4.0027 eV/atom.

---

DFT (GGA-PBE) results for an optimized crystal structure of Cs2SrBiO4.

The space group is Fddd (No. 70, origin choice 2) and the conventional cell measures 6.5049, 14.1147 and 23.6129 Å, with angles of 90.00, 90.00 and 90.00 degrees. Symmetry generates all atoms from Cs at (0.1250, 0.1250, 0.3206), Sr at (0.1250, 0.1250, 0.1250), Bi at (0.1250, 0.1250, 0.6250) and O at (0.0992, 0.2787, 0.8393).

Its crystal system is orthorhombic. For the uncorrected energy, the calculation gives -4.7202 eV/atom.

---

DFT (GGA-PBE) results for an optimized crystal structure of Cs2TaBiO6.

The space group is Fm-3m (No. 225) and the conventional cell measures 8.5905, 8.5905 and 8.5905 Å, with angles of 90.00, 90.00 and 90.00 degrees. Symmetry generates all atoms from Cs at (0.2500, 0.2500, 0.2500), Ta at (0.0000, 0.0000, 0.0000), Bi at (0.0000, 0.0000, 0.5000) and O at (0.0000, 0.0000, 0.2356).

Its crystal system is cubic. For the uncorrected energy, the calculation gives -6.3882 eV/atom.

---

DFT (GGA-PBE) results for an optimized crystal structure of Cs2Tb2BiO6.

The space group is C2/m (No. 12) and the conventional cell measures 6.1161, 10.5811 and 7.3418 Å, with angles of 90.00, 105.81 and 90.00 degrees. Symmetry generates all atoms from Cs at (0.0000, 0.1665, 0.0000), Tb at (0.0000, 0.3344, 0.5000), Bi at (0.0000, 0.0000, 0.5000), O at (0.2168, 0.1683, 0.6599) and O at (0.2249, 0.5000, 0.6601).

Its crystal system is monoclinic. For the uncorrected energy, the calculation gives -6.2753 eV/atom.

---

DFT (GGA-PBE) results for an optimized crystal structure of Cs4Tb3BiO8.

The space group is R-3m (No. 166, hexagonal axes) and the conventional cell measures 7.2167, 7.2167 and 20.7184 Å, with angles of 90.00, 90.00 and 120.00 degrees. Symmetry generates all atoms from Cs at (0.0000, 0.0000, 0.0000), Cs at (0.0000, 0.5000, 0.0000), Tb at (0.0000, 0.5000, 0.5000), Bi at (0.0000, 0.0000, 0.5000), O at (0.0000, 0.0000, 0.2216) and O at (0.0116, 0.5058, 0.7770).

Its crystal system is trigonal. For the uncorrected energy, the calculation gives -6.0716 eV/atom.

---

DFT (GGA-PBE) results for an optimized crystal structure of CsTc2BiO8.

The space group is P-3 (No. 147) and the conventional cell measures 5.8405, 5.8405 and 8.9182 Å, with angles of 90.00, 90.00 and 120.00 degrees. Symmetry generates all atoms from Cs at (0.0000, 0.0000, 0.0000), Tc at (0.3333, 0.6667, 0.7333), Bi at (0.0000, 0.0000, 0.5000), O at (0.0849, 0.3470, 0.6657) and O at (0.3333, 0.6667, 0.9291).

Its crystal system is trigonal. For the uncorrected energy, the calculation gives -6.8551 eV/atom.

---

DFT (GGA-PBE) results for an optimized crystal structure of Cs2TcBiO6.

The space group is Fm-3m (No. 225) and the conventional cell measures 8.6818, 8.6818 and 8.6818 Å, with angles of 90.00, 90.00 and 90.00 degrees. Symmetry generates all atoms from Cs at (0.2500, 0.2500, 0.2500), Tc at (0.0000, 0.0000, 0.0000), Bi at (0.0000, 0.0000, 0.5000) and O at (0.0000, 0.0000, 0.2212).

Its crystal system is cubic. For the uncorrected energy, the calculation gives -5.9183 eV/atom.

---

DFT (GGA-PBE) results for an optimized crystal structure of Cs3BiTe2O8.

The space group is P-3m1 (No. 164) and the conventional cell measures 6.6139, 6.6139 and 8.5332 Å, with angles of 90.00, 90.00 and 120.00 degrees. Symmetry generates all atoms from Cs at (0.0000, 0.0000, 0.0000), Cs at (0.3333, 0.6667, 0.7299), Bi at (0.0000, 0.0000, 0.5000), Te at (0.3333, 0.6667, 0.2804), O at (0.1661, 0.3322, 0.3380) and O at (0.3333, 0.6667, 0.0628).

Its crystal system is trigonal. For the uncorrected energy, the calculation gives -4.9881 eV/atom.

---

DFT (GGA-PBE) results for an optimized crystal structure of CsBiTeO6.

The space group is P312 (No. 149) and the conventional cell measures 5.5203, 5.5203 and 6.8417 Å, with angles of 90.00, 90.00 and 120.00 degrees. Symmetry generates all atoms from Cs at (0.0000, 0.0000, 0.0000), Bi at (0.3333, 0.6667, 0.5000), Te at (0.6667, 0.3333, 0.5000) and O at (0.3999, 0.0249, 0.6695).

Its crystal system is trigonal. For the uncorrected energy, the calculation gives -5.3041 eV/atom.

---

Repeat the eighth record exactly.
DFT (GGA-PBE) results for an optimized crystal structure of Cs4Tb3BiO8.

The space group is R-3m (No. 166, hexagonal axes) and the conventional cell measures 7.2167, 7.2167 and 20.7184 Å, with angles of 90.00, 90.00 and 120.00 degrees. Symmetry generates all atoms from Cs at (0.0000, 0.0000, 0.0000), Cs at (0.0000, 0.5000, 0.0000), Tb at (0.0000, 0.5000, 0.5000), Bi at (0.0000, 0.0000, 0.5000), O at (0.0000, 0.0000, 0.2216) and O at (0.0116, 0.5058, 0.7770).

Its crystal system is trigonal. For the uncorrected energy, the calculation gives -6.0716 eV/atom.

---

What is the uncorrected energy in the sixth record?
-6.3882 eV/atom

---

Which of these has the lowest uncorrected energy?
CsTc2BiO8

---

What is the formula in the twelfth record?
CsBiTeO6